Record 1
Material: TlSb2As
Method: DFT, PBE-GGA
State: optimized geometry

Calculated volume (Å³/f.u.): 104.2
Polymorph energy (0 for the lowest one) (meV/atom): 171
Theoretical density (g/cm³): 8.33

a = 3.8548 Å, b = 5.3315 Å, c = 5.0715 Å
α = 90.00°, β = 90.00°, γ = 90.00°
Last column: nearest neighbours and their distance in Å.
Element x y z (fractional)
1 Sb 0.0000 0.0000 0.0000  4 Tl 3.19, 4 Sb 3.29
2 Sb 0.5000 0.5000 0.0000  4 As 3.19, 4 Sb 3.29
3 Tl 0.5000 0.0000 0.5000  4 Sb 3.19, 4 As 3.29
4 As 0.0000 0.5000 0.5000  4 Sb 3.19, 4 Tl 3.29

***

Record 2
Material: Tl6Sb2As
Method: DFT, PBE-GGA
State: optimized geometry

Calculated volume (Å³/f.u.): 282.4
Theoretical density (g/cm³): 9.08
Energy (eV/atom): -2.97

a = 5.5076 Å, b = 5.5076 Å, c = 11.1045 Å
α = 76.04°, β = 76.04°, γ = 60.84°
Last column: nearest neighbours and their distance in Å.
Element x y z (fractional)
1 Tl 0.5948 0.5948 0.2375  3 Sb 3.21-3.23, 4 Tl 3.43-3.60
2 Tl 0.7956 0.7956 0.5884  4 Sb 3.31-3.51, 4 Tl 3.49-3.67
3 Tl 0.6921 0.6921 0.9160  3 As 3.31-3.32, 8 Tl 3.43-3.69
4 Tl 0.2044 0.2044 0.4116  4 Sb 3.31-3.51, 4 Tl 3.49-3.67
5 Tl 0.4052 0.4052 0.7625  3 Sb 3.21-3.23, 4 Tl 3.43-3.60
6 Tl 0.3079 0.3079 0.0840  3 As 3.31-3.32, 8 Tl 3.43-3.69
7 Sb 0.9162 0.9162 0.2788  1 As 2.97, 4 Tl 3.21-3.31
8 Sb 0.0838 0.0838 0.7212  1 As 2.97, 4 Tl 3.21-3.31
9 As 0.0000 0.0000 0.0000  2 Sb 2.97, 6 Tl 3.31-3.32

***

Record 3
Material: TlSbAs2
Method: DFT, PBE-GGA
State: optimized geometry

Calculated volume (Å³/f.u.): 136.6
Polymorph energy (0 for the lowest one) (meV/atom): 136
Theoretical density (g/cm³): 5.79

a = 6.2767 Å, b = 6.2767 Å, c = 8.2317 Å
α = 67.59°, β = 67.59°, γ = 90.00°
Last column: nearest neighbours and their distance in Å.
Element x y z (fractional)
1 Sb 0.5000 0.5000 0.0000  4 As 2.78
2 Sb 0.2500 0.7500 0.5000  4 As 2.78
3 Tl 0.0000 0.0000 0.0000  4 As 2.85
4 Tl 0.7500 0.2500 0.5000  4 As 2.85
5 As 0.6141 0.1250 0.2500  2 Sb 2.78, 2 Tl 2.85
6 As 0.1359 0.6250 0.2500  2 Sb 2.78, 2 Tl 2.85
7 As 0.3750 0.3859 0.7500  2 Sb 2.78, 2 Tl 2.85
8 As 0.8750 0.8641 0.7500  2 Sb 2.78, 2 Tl 2.85

***

Record 4
Material: TlSb2As
Method: DFT, PBE-GGA
State: optimized geometry

Calculated volume (Å³/f.u.): 106.4
Polymorph energy (0 for the lowest one) (meV/atom): 118
Theoretical density (g/cm³): 8.16

a = 3.3085 Å, b = 3.3085 Å, c = 10.3093 Å
α = 90.00°, β = 90.00°, γ = 109.40°
Last column: nearest neighbours and their distance in Å.
Element x y z (fractional)
1 Sb 0.0000 0.0000 0.9648  2 As 2.93
2 Sb 0.0000 0.0000 0.5352  2 As 2.93
3 Tl 0.5000 0.5000 0.2500  4 Tl 3.31, 4 Sb 3.51
4 As 0.5000 0.5000 0.7500  4 Sb 2.93

***

Record 5
Material: Tl2SbAs
Method: DFT, PBE-GGA
State: optimized geometry

Calculated volume (Å³/f.u.): 141.5
Polymorph energy (0 for the lowest one) (meV/atom): 106
Theoretical density (g/cm³): 7.11

a = 6.5767 Å, b = 6.5767 Å, c = 8.0268 Å
α = 65.82°, β = 65.82°, γ = 90.00°
Last column: nearest neighbours and their distance in Å.
Element x y z (fractional)
1 Sb 0.0000 0.0000 0.0000  4 Tl 2.93
2 Sb 0.7500 0.2500 0.5000  4 Tl 2.93
3 Tl 0.6038 0.1250 0.2500  2 As 2.76, 2 Sb 2.93
4 Tl 0.1462 0.6250 0.2500  2 As 2.76, 2 Sb 2.93
5 Tl 0.3750 0.3962 0.7500  2 As 2.76, 2 Sb 2.93
6 Tl 0.8750 0.8538 0.7500  2 As 2.76, 2 Sb 2.93
7 As 0.5000 0.5000 0.0000  4 Tl 2.76
8 As 0.2500 0.7500 0.5000  4 Tl 2.76

***

Record 6
Material: Tl2SbAs
Method: DFT, PBE-GGA
State: optimized geometry

Calculated volume (Å³/f.u.): 109.0
Polymorph energy (0 for the lowest one) (meV/atom): 202
Theoretical density (g/cm³): 9.23

a = 4.0014 Å, b = 4.0014 Å, c = 6.8045 Å
α = 90.00°, β = 90.00°, γ = 90.00°
Last column: nearest neighbours and their distance in Å.
Element x y z (fractional)
1 Sb 0.5000 0.5000 0.7500  8 Tl 3.35, 2 As 3.40
2 Tl 0.0000 0.0000 0.0139  2 Tl 3.21-3.59, 4 As 3.25, 4 Sb 3.35
3 Tl 0.0000 0.0000 0.4861  2 Tl 3.21-3.59, 4 As 3.25, 4 Sb 3.35
4 As 0.5000 0.5000 0.2500  8 Tl 3.25, 2 Sb 3.40